Below is KNi2SnO after structural relaxation, with properties calculated at the PBE+U level.

Lattice parameters (Å, degrees): 4.318 4.835 4.318 90.00 90.00 90.00
Last column: magnetic moment on the atom in μB.
Positions (direct):
Ni 0.000 0.000 0.500  0.98
Ni 0.500 0.000 0.000  0.91
K 0.000 0.500 0.000  -0.01
Sn 0.500 0.500 0.500  -0.11
O 0.000 0.000 0.000  -0.13

Values from the calculation:
- Total magnetic moment: 1.47 μB per cell
- Mass density: 5.363 g cm⁻³
- SG: P4/mmm, No. 123
- Electronic total energy: -2.8143 eV per atom
- DOS at the Fermi energy: 0.6353 states/eV/atom